No. 1
Below is a crystal of TaPRuS2 relaxed with PBEsol, with properties calculated at the SCAN level.

Results
The calculation puts the electronic total energy at -128.2 eV per cell. As for the energy relative to the elements, uncorrected: 0.577 eV/atom.

a = 4.636 Å, b = 4.636 Å, c = 4.823 Å
α = 90.00°, β = 90.00°, γ = 90.00°
Fractional coordinates of all 5 atoms:
Ru (0.500, 0.500, 0.500)
S (0.000, 0.500, 0.000)
S (0.500, 0.000, 0.000)
P (0.000, 0.000, 0.500)
Ta (0.000, 0.000, 0.000)

No. 2
Below is a crystal of Si2SnHg2 relaxed with PBEsol, with properties calculated at the SCAN level.

Results
The calculation puts the electronic total energy at -190.4 eV per cell. As for the energy relative to the elements, uncorrected: 0.378 eV/atom.

a = 3.446 Å, b = 3.446 Å, c = 9.288 Å
α = 100.69°, β = 100.69°, γ = 90.00°
Fractional coordinates of all 5 atoms:
Si (0.250, 0.750, 0.500)
Si (0.750, 0.250, 0.500)
Hg (0.387, 0.387, 0.774)
Hg (0.613, 0.613, 0.226)
Sn (0.000, 0.000, 0.000)

No. 3
Below is a crystal of LiSbAu2 relaxed with PBEsol, with properties calculated at the SCAN level.

Results
The calculation puts the electronic total energy at -179.2 eV per cell. As for the energy relative to the elements, uncorrected: -0.321 eV/atom.

a = 4.118 Å, b = 4.118 Å, c = 5.128 Å
α = 113.67°, β = 113.67°, γ = 90.00°
Fractional coordinates of all 4 atoms:
Sb (0.250, 0.750, 0.500)
Au (0.500, 0.500, 0.000)
Au (0.750, 0.250, 0.500)
Li (0.000, 0.000, 0.000)

No. 4
Below is a crystal of Co2TeH2 relaxed with PBEsol, with properties calculated at the SCAN level.

Results
The calculation puts the electronic total energy at -76.9 eV per cell.

a = 3.096 Å, b = 3.096 Å, c = 5.339 Å
α = 106.85°, β = 106.85°, γ = 90.00°
Fractional coordinates of all 5 atoms:
H (0.250, 0.750, 0.500)
H (0.750, 0.250, 0.500)
Te (0.000, 0.000, 0.000)
Co (0.338, 0.338, 0.675)
Co (0.662, 0.662, 0.325)

Looking at D(E_F) for the records above, in order, we have 0.4600, 0.3748, 0.3937, 0.5618 states/eV/atom.